Record 1
First-principles (GGA-PBE) data for CaAl2Hg after structural relaxation, as listed in Alexandria via LeMat-Bulk.

- Crystal system: tetragonal
- V: 26.9 Å³/atom
- ΔE_f: 32 meV/atom
- E_tot: -2.415 eV per atom

```
8
Lattice="-2.074 3.290 2.668 0.553 -2.735 3.803 7.858 4.351 4.913" Properties=species:S:1:pos:R:3 pbc="T T T"
Al 4.085 6.109 6.065
Hg 2.511 3.959 5.408
Hg 0.000 0.000 0.000
Al 0.261 2.629 6.241
Al 5.247 3.846 5.590
Ca 3.825 0.946 5.976
Ca -0.761 0.277 3.236
Al 0.453 3.253 3.737
```

Record 2
First-principles (GGA-PBE) data for TlSbBr6 after structural relaxation, as listed in Alexandria via LeMat-Bulk.

- Crystal system: triclinic
- V: 38.1 Å³/atom
- E_tot: -2.556 eV per atom
- Energy relative to the lowest polymorph listed for this composition: 0.0 meV per atom

```
8
Lattice="7.230 0.021 0.003 3.617 6.287 -0.002 3.602 2.083 6.720" Properties=species:S:1:pos:R:3 pbc="T T T"
Tl 7.224 4.195 3.361
Br 8.606 6.734 5.232
Br 10.126 4.298 1.503
Br 4.322 4.092 5.218
Br 5.719 6.678 1.493
Br 5.842 1.656 1.489
Br 8.729 1.713 5.228
Sb 0.000 0.000 0.000
```

Record 3
First-principles (GGA-PBE) data for Cs2KAlBr6 after structural relaxation, as listed in Alexandria via LeMat-Bulk.

- Crystal system: cubic
- V: 37.3 Å³/atom
- E_tot: -3.174 eV per atom

```
10
Lattice="8.079 0.000 0.000 4.040 6.996 0.000 4.040 2.332 6.596" Properties=species:S:1:pos:R:3 pbc="T T T"
Cs 4.040 2.332 1.649
K 8.079 4.664 3.298
Al 0.000 0.000 0.000
Cs 12.119 6.996 4.947
Br 8.079 2.068 1.463
Br 10.327 5.962 1.463
Br 10.327 3.366 5.133
Br 5.831 3.366 5.133
Br 8.079 7.260 5.134
Br 5.831 5.962 1.463
```